Entry 1:
BeCd2Sb (PBE, optimized geometry); ΔE to the lowest computed polymorph = 0.568 eV per formula unit
1.0
-2.1796 -2.0133 0.6942
1.3371 -0.4891 2.7796
-4.8036 6.3843 3.4342
Sb Be Cd
1 1 2
Direct
0.5000 0.5000 0.2500 Sb
0.5000 0.5000 0.7500 Be
0.0000 0.0000 0.9373 Cd
0.0000 0.0000 0.5627 Cd

=====

Entry 2:
BeCdSb2 (PBE, optimized geometry); ΔE to the lowest computed polymorph = 0.096 eV per formula unit
1.0
3.8839 0.0000 0.0000
0.0000 5.2803 0.2356
0.0000 2.2278 4.7908
Sb Be Cd
2 1 1
Direct
0.0000 0.0716 0.0715 Sb
0.0000 0.4284 0.4285 Sb
0.5000 0.2500 0.2500 Be
0.5000 0.7500 0.7500 Cd

=====

Entry 3:
BeCd2Sb (PBE, optimized geometry); ΔE to the lowest computed polymorph = 1.377 eV per formula unit
1.0
0.0000 3.5369 3.5369
3.5369 0.0000 3.5369
3.5369 3.5369 0.0000
Sb Be Cd
1 1 2
Direct
0.5000 0.5000 0.5000 Sb
0.0000 0.0000 0.0000 Be
0.2500 0.2500 0.2500 Cd
0.7500 0.7500 0.7500 Cd

=====

Entry 4:
This record from Alexandria describes an optimized crystal structure of Be2Cd2Sb. The functional is PBE.

The structure in POSCAR format:
```
Be2Cd2Sb
1.0
-5.2942 4.2575 3.7451
-2.7849 -6.4155 3.3566
1.9264 0.3691 2.3037
Sb Be Cd
2 4 4
Direct
0.0000 0.0000 0.0000 Sb
0.5000 0.5000 0.0000 Sb
0.3295 0.8295 0.0000 Be
0.8295 0.6705 0.0000 Be
0.6705 0.1705 0.0000 Be
0.1705 0.3295 0.0000 Be
0.1317 0.6317 0.5000 Cd
0.6317 0.8683 0.5000 Cd
0.8683 0.3683 0.5000 Cd
0.3683 0.1317 0.5000 Cd
```

=====

Entry 5:
BeCdSb2 (PBE, optimized geometry); ΔE to the lowest computed polymorph = 0.434 eV per formula unit
1.0
7.1404 0.0323 -0.0346
5.1188 4.9784 0.0346
-6.0668 -2.6589 2.6667
Sb Be Cd
2 1 1
Direct
0.9855 0.9855 0.0000 Sb
0.6725 0.1725 0.5000 Sb
0.5357 0.5357 0.0000 Be
0.3063 0.8063 0.5000 Cd

=====

Entry 6:
BeCd2Sb (PBE, optimized geometry); ΔE to the lowest computed polymorph = 0.551 eV per formula unit
1.0
3.1277 0.0109 0.0000
-0.7386 3.0393 0.0000
0.0000 0.0000 9.0800
Sb Be Cd
1 1 2
Direct
0.0000 0.0000 0.5643 Sb
0.5000 0.5000 0.7554 Be
0.0000 0.0000 0.9499 Cd
0.5000 0.5000 0.2304 Cd

=====

Entry 7:
Be2CdSb (PBE, optimized geometry); ΔE to the lowest computed polymorph = 1.347 eV per formula unit
1.0
-1.8695 4.3334 -2.8590
-4.2780 -0.4293 -3.4585
1.3919 -1.3540 5.1649
Sb Be Cd
1 2 1
Direct
0.7500 0.2500 0.5000 Sb
0.0000 0.0000 0.0000 Be
0.2500 0.7500 0.5000 Be
0.5000 0.5000 0.0000 Cd

=====

Entry 8:
BeCd2Sb (PBE, optimized geometry); ΔE to the lowest computed polymorph = 0.537 eV per formula unit
1.0
-3.8159 6.5721 4.5195
-6.1888 4.2030 4.7131
-3.6275 4.1959 6.8858
Sb Be Cd
1 1 2
Direct
0.2500 0.2500 0.2500 Sb
0.7500 0.7500 0.7500 Be
0.0150 0.0150 0.0150 Cd
0.4850 0.4850 0.4850 Cd

=====

Entry 9:
BeCd2Sb (PBE, optimized geometry); ΔE to the lowest computed polymorph = 0.828 eV per formula unit
1.0
-1.0903 3.0435 -0.1544
-1.1492 -0.1830 4.5082
4.6125 1.8348 3.5984
Sb Be Cd
1 1 2
Direct
0.5000 0.5000 0.5000 Sb
0.0000 0.0000 0.5000 Be
0.0000 0.0000 0.0000 Cd
0.5000 0.5000 0.0000 Cd

=====

Entry 10:
Be2CdSb (PBE, optimized geometry); ΔE to the lowest computed polymorph = 0.691 eV per formula unit
1.0
-1.2986 -1.2195 -4.2246
1.7697 -1.4430 -3.9757
-0.3797 -5.8256 -0.5524
Sb Be Cd
1 2 1
Direct
0.2500 0.2500 0.2500 Sb
0.9837 0.9837 0.9076 Be
0.5163 0.5163 0.5924 Be
0.7500 0.7500 0.7500 Cd

=====

Entry 11:
BeCd2Sb (PBE, optimized geometry); ΔE to the lowest computed polymorph = 0.877 eV per formula unit
1.0
-4.2317 1.3019 2.8794
1.5477 -1.9543 3.1582
1.8440 3.3742 1.1843
Sb Be Cd
1 1 2
Direct
0.5000 0.5000 0.0000 Sb
0.5000 0.0000 0.5000 Be
0.0000 0.0000 0.0000 Cd
0.0000 0.5000 0.5000 Cd

=====

Entry 12:
Be3CdSb (PBE, optimized geometry); ΔE to the lowest computed polymorph = 0.000 eV per formula unit
1.0
-1.5905 1.1179 4.0649
-4.0496 -1.6128 -1.1410
1.1719 -4.0561 1.5741
Sb Be Cd
1 3 1
Direct
0.5000 0.5000 0.5000 Sb
0.0000 0.5000 0.0000 Be
0.0000 0.0000 0.5000 Be
0.5000 0.0000 0.0000 Be
0.0000 0.0000 0.0000 Cd

=====

| no. | E_tot (eV per atom) | ΔE_f (raw) (meV/atom) |
| --- | --- | --- |
| 1 | -2.071 | 349 |
| 2 | -2.988 | 234 |
| 3 | -1.869 | 551 |
| 4 | -2.174 | 507 |
| 5 | -2.903 | 318 |
| 6 | -2.075 | 345 |
| 7 | -2.477 | 645 |
| 8 | -2.079 | 341 |
| 9 | -2.006 | 414 |
| 10 | -2.641 | 481 |
| 11 | -1.994 | 426 |
| 12 | -2.175 | 1069 |